#one
{"formula": "Ag3OsW", "functional": "GGA-PBE", "state": "relaxed", "magnetic_moment_mub_per_atom": 0.46, "n_ef_per_ev_atom": 0.802, "density_kg_m3": 9314, "space_group": "Pm-3m (221)", "lattice": [[4.992, 0.000, 0.000], [0.000, 4.992, 0.000], [0.000, 0.000, 4.992]], "species": ["Ag", "Ag", "Ag", "Os", "W"], "fractional_positions": [[0.000, 0.000, 0.500], [0.000, 0.500, 0.000], [0.500, 0.000, 0.000], [0.000, 0.000, 0.000], [0.500, 0.500, 0.500]]}


#two
{"formula": "Ag3OsW", "functional": "GGA-PBE", "state": "relaxed", "magnetic_moment_mub_per_atom": 0.55, "n_ef_per_ev_atom": 0.960, "density_kg_m3": 9409, "space_group": "Pm-3m (221)", "lattice": [[4.975, 0.000, 0.000], [0.000, 4.975, 0.000], [0.000, 0.000, 4.975]], "species": ["Ag", "Ag", "Ag", "Os", "W"], "fractional_positions": [[0.000, 0.000, 0.500], [0.000, 0.500, 0.000], [0.500, 0.000, 0.000], [0.500, 0.500, 0.500], [0.000, 0.000, 0.000]]}


Which of them is most stable, and which least? Most stable: #one; least stable: #two.


#one
{"formula": "Ag2Os2W", "functional": "GGA-PBE", "state": "relaxed", "magnetic_moment_mub_per_atom": 0.00, "n_ef_per_ev_atom": 0.902, "density_kg_m3": 14422, "space_group": "P4/mbm (127)", "lattice": [[6.373, 0.000, 0.000], [0.000, 6.373, 0.000], [0.000, 0.000, 4.422]], "species": ["Ag", "Ag", "Ag", "Ag", "Os", "Os", "Os", "Os", "W", "W"], "fractional_positions": [[0.172, 0.328, 0.000], [0.328, 0.828, 0.000], [0.672, 0.172, 0.000], [0.828, 0.672, 0.000], [0.134, 0.634, 0.500], [0.366, 0.134, 0.500], [0.634, 0.866, 0.500], [0.866, 0.366, 0.500], [0.000, 0.000, 0.500], [0.500, 0.500, 0.500]]}


#two
{"formula": "Ag2Os2W", "functional": "GGA-PBE", "state": "relaxed", "magnetic_moment_mub_per_atom": 0.00, "n_ef_per_ev_atom": 0.554, "density_kg_m3": 14929, "space_group": "I4/mmm (139)", "lattice": [[-1.757, 1.757, 7.029], [1.757, -1.757, 7.029], [1.757, 1.757, -7.029]], "species": ["Ag", "Ag", "Os", "Os", "W"], "fractional_positions": [[0.250, 0.750, 0.500], [0.750, 0.250, 0.500], [0.089, 0.089, 0.000], [0.911, 0.911, 0.000], [0.500, 0.500, 0.000]]}


Which of them is most stable, and which least? Most stable: #one; least stable: #two.


#one
{"formula": "Y8Ag2Os", "functional": "GGA-PBE", "state": "relaxed", "magnetic_moment_mub_per_atom": 0.00, "n_ef_per_ev_atom": 0.913, "density_kg_m3": 6194, "space_group": "C2/m (12)", "lattice": [[8.751, -2.613, 0.000], [8.751, 2.613, 0.000], [-2.146, 0.000, 6.549]], "species": ["Y", "Y", "Y", "Y", "Y", "Y", "Y", "Y", "Ag", "Ag", "Os"], "fractional_positions": [[0.028, 0.028, 0.297], [0.198, 0.198, 0.806], [0.340, 0.340, 0.532], [0.410, 0.410, 0.070], [0.590, 0.590, 0.930], [0.660, 0.660, 0.468], [0.802, 0.802, 0.194], [0.972, 0.972, 0.703], [0.183, 0.183, 0.212], [0.817, 0.817, 0.788], [0.500, 0.500, 0.500]]}


#two
{"formula": "Y8Ag2Os", "functional": "GGA-PBE", "state": "relaxed", "magnetic_moment_mub_per_atom": 0.00, "n_ef_per_ev_atom": 1.221, "density_kg_m3": 5926, "space_group": "Cm (8)", "lattice": [[3.844, -7.855, 0.000], [3.844, 7.855, 0.000], [-3.339, 0.000, 5.185]], "species": ["Y", "Y", "Y", "Y", "Y", "Y", "Y", "Y", "Ag", "Ag", "Os"], "fractional_positions": [[0.000, 0.000, 0.000], [0.086, 0.468, 0.137], [0.128, 0.894, 0.481], [0.433, 0.661, 0.844], [0.468, 0.086, 0.137], [0.555, 0.555, 0.372], [0.661, 0.433, 0.844], [0.894, 0.128, 0.481], [0.553, 0.980, 0.640], [0.980, 0.553, 0.640], [0.273, 0.273, 0.865]]}


Which of them is most stable, and which least? Most stable: #one; least stable: #two.


#one
{"formula": "Y3AgOs", "functional": "GGA-PBE", "state": "relaxed", "magnetic_moment_mub_per_atom": 0.00, "n_ef_per_ev_atom": 0.785, "density_kg_m3": 6069, "space_group": "Pm-3m (221)", "lattice": [[5.366, 0.000, 0.000], [0.000, 5.366, 0.000], [0.000, 0.000, 5.366]], "species": ["Y", "Y", "Y", "Ag", "Os"], "fractional_positions": [[0.000, 0.000, 0.500], [0.000, 0.500, 0.000], [0.500, 0.000, 0.000], [0.500, 0.500, 0.500], [0.000, 0.000, 0.000]]}


#two
{"formula": "Y3AgOs", "functional": "GGA-PBE", "state": "relaxed", "magnetic_moment_mub_per_atom": 0.00, "n_ef_per_ev_atom": 0.910, "density_kg_m3": 7539, "space_group": "Fmmm (69)", "lattice": [[0.000, 4.915, 7.858], [3.221, 0.000, 7.858], [3.221, 4.915, 0.000]], "species": ["Y", "Y", "Y", "Y", "Y", "Y", "Ag", "Ag", "Os", "Os"], "fractional_positions": [[0.196, 0.196, 0.804], [0.206, 0.576, 0.424], [0.424, 0.794, 0.206], [0.576, 0.206, 0.794], [0.794, 0.424, 0.576], [0.804, 0.804, 0.196], [0.209, 0.791, 0.791], [0.791, 0.209, 0.209], [0.250, 0.250, 0.250], [0.750, 0.750, 0.750]]}


Which of them is most stable, and which least? Most stable: #two; least stable: #one.


#one
{"formula": "ZnAg2Os2", "functional": "GGA-PBE", "state": "relaxed", "magnetic_moment_mub_per_atom": 0.00, "n_ef_per_ev_atom": 0.967, "density_kg_m3": 12386, "space_group": "I4/mmm (139)", "lattice": [[-1.847, 1.847, 6.503], [1.847, -1.847, 6.503], [1.847, 1.847, -6.503]], "species": ["Zn", "Ag", "Ag", "Os", "Os"], "fractional_positions": [[0.000, 0.000, 0.000], [0.250, 0.750, 0.500], [0.750, 0.250, 0.500], [0.412, 0.412, 0.000], [0.588, 0.588, 0.000]]}


#two
{"formula": "ZnAg2Os2", "functional": "GGA-PBE", "state": "relaxed", "magnetic_moment_mub_per_atom": 0.12, "n_ef_per_ev_atom": 0.757, "density_kg_m3": 12726, "space_group": "P4/mbm (127)", "lattice": [[6.340, 0.000, 0.000], [0.000, 6.340, 0.000], [0.000, 0.000, 4.295]], "species": ["Zn", "Zn", "Ag", "Ag", "Ag", "Ag", "Os", "Os", "Os", "Os"], "fractional_positions": [[0.000, 0.000, 0.000], [0.500, 0.500, 0.000], [0.178, 0.322, 0.500], [0.322, 0.822, 0.500], [0.678, 0.178, 0.500], [0.822, 0.678, 0.500], [0.129, 0.629, 0.000], [0.371, 0.129, 0.000], [0.629, 0.871, 0.000], [0.871, 0.371, 0.000]]}


Which of them is most stable, and which least? Most stable: #two; least stable: #one.


#one
{"formula": "ZnAg3Os", "functional": "GGA-PBE", "state": "relaxed", "magnetic_moment_mub_per_atom": 0.41, "n_ef_per_ev_atom": 0.863, "density_kg_m3": 9437, "space_group": "Pm-3m (221)", "lattice": [[4.671, 0.000, 0.000], [0.000, 4.671, 0.000], [0.000, 0.000, 4.671]], "species": ["Zn", "Ag", "Ag", "Ag", "Os"], "fractional_positions": [[0.000, 0.000, 0.000], [0.000, 0.000, 0.500], [0.000, 0.500, 0.000], [0.500, 0.000, 0.000], [0.500, 0.500, 0.500]]}


#two
{"formula": "ZnAg3Os", "functional": "GGA-PBE", "state": "relaxed", "magnetic_moment_mub_per_atom": 0.45, "n_ef_per_ev_atom": 0.688, "density_kg_m3": 7171, "space_group": "Pm-3m (221)", "lattice": [[5.119, 0.000, 0.000], [0.000, 5.119, 0.000], [0.000, 0.000, 5.119]], "species": ["Zn", "Ag", "Ag", "Ag", "Os"], "fractional_positions": [[0.000, 0.000, 0.000], [0.000, 0.500, 0.500], [0.500, 0.000, 0.500], [0.500, 0.500, 0.000], [0.500, 0.500, 0.500]]}


Which of them is most stable, and which least? Most stable: #one; least stable: #two.


#one
{"formula": "ZrAg3Os", "functional": "GGA-PBE", "state": "relaxed", "magnetic_moment_mub_per_atom": 0.72, "n_ef_per_ev_atom": 1.103, "density_kg_m3": 7567, "space_group": "Pm-3m (221)", "lattice": [[5.102, 0.000, 0.000], [0.000, 5.102, 0.000], [0.000, 0.000, 5.102]], "species": ["Zr", "Ag", "Ag", "Ag", "Os"], "fractional_positions": [[0.000, 0.000, 0.000], [0.000, 0.000, 0.500], [0.000, 0.500, 0.000], [0.500, 0.000, 0.000], [0.500, 0.500, 0.500]]}


#two
{"formula": "ZrAg3Os", "functional": "GGA-PBE", "state": "relaxed", "magnetic_moment_mub_per_atom": 0.00, "n_ef_per_ev_atom": 1.465, "density_kg_m3": 8348, "space_group": "Pm-3m (221)", "lattice": [[4.937, 0.000, 0.000], [0.000, 4.937, 0.000], [0.000, 0.000, 4.937]], "species": ["Zr", "Ag", "Ag", "Ag", "Os"], "fractional_positions": [[0.000, 0.000, 0.000], [0.000, 0.500, 0.500], [0.500, 0.000, 0.500], [0.500, 0.500, 0.000], [0.500, 0.500, 0.500]]}


Which of them is most stable, and which least? Most stable: #two; least stable: #one.


#one
{"formula": "ZrAgOs2", "functional": "GGA-PBE", "state": "relaxed", "magnetic_moment_mub_per_atom": 0.00, "n_ef_per_ev_atom": 1.044, "density_kg_m3": 14634, "space_group": "P4/mmm (123)", "lattice": [[4.046, 0.000, 0.000], [0.000, 4.046, 0.000], [0.000, 0.000, 4.018]], "species": ["Zr", "Ag", "Os", "Os"], "fractional_positions": [[0.000, 0.000, 0.000], [0.500, 0.500, 0.000], [0.000, 0.500, 0.500], [0.500, 0.000, 0.500]]}


#two
{"formula": "ZrAgOs2", "functional": "GGA-PBE", "state": "relaxed", "magnetic_moment_mub_per_atom": 0.00, "n_ef_per_ev_atom": 0.838, "density_kg_m3": 14425, "space_group": "P2/m (10)", "lattice": [[2.777, 0.000, 0.000], [0.000, 4.720, 0.000], [-0.367, 0.000, 5.091]], "species": ["Zr", "Ag", "Os", "Os"], "fractional_positions": [[0.000, 0.000, 0.000], [0.500, 0.000, 0.500], [0.279, 0.500, 0.733], [0.721, 0.500, 0.267]]}


#three
{"formula": "ZrAgOs2", "functional": "GGA-PBE", "state": "relaxed", "magnetic_moment_mub_per_atom": 0.00, "n_ef_per_ev_atom": 1.099, "density_kg_m3": 14430, "space_group": "R-3m (166)", "lattice": [[1.405, 0.811, 9.749], [-1.405, 0.811, 9.749], [0.000, -1.623, 9.749]], "species": ["Zr", "Ag", "Os", "Os"], "fractional_positions": [[0.000, 0.000, 0.000], [0.500, 0.500, 0.500], [0.250, 0.250, 0.250], [0.750, 0.750, 0.750]]}


Which of them is most stable, and which least? Most stable: #one; least stable: #three.


#one
{"formula": "ZrAgOs2", "functional": "GGA-PBE", "state": "relaxed", "magnetic_moment_mub_per_atom": 0.00, "n_ef_per_ev_atom": 1.280, "density_kg_m3": 14221, "space_group": "P4/mmm (123)", "lattice": [[2.863, 0.000, 0.000], [0.000, 2.863, 0.000], [0.000, 0.000, 8.256]], "species": ["Zr", "Ag", "Os", "Os"], "fractional_positions": [[0.000, 0.000, 0.000], [0.000, 0.000, 0.500], [0.500, 0.500, 0.250], [0.500, 0.500, 0.750]]}


#two
{"formula": "ZrAgOs2", "functional": "GGA-PBE", "state": "relaxed", "magnetic_moment_mub_per_atom": 0.00, "n_ef_per_ev_atom": 0.753, "density_kg_m3": 12645, "space_group": "I-42d (122)", "lattice": [[-2.002, 2.002, 9.492], [2.002, -2.002, 9.492], [2.002, 2.002, -9.492]], "species": ["Zr", "Zr", "Ag", "Ag", "Os", "Os", "Os", "Os"], "fractional_positions": [[0.000, 0.000, 0.000], [0.750, 0.250, 0.500], [0.250, 0.750, 0.500], [0.500, 0.500, 0.000], [0.201, 0.625, 0.076], [0.375, 0.451, 0.576], [0.549, 0.125, 0.924], [0.875, 0.799, 0.424]]}


#three
{"formula": "ZrAgOs2", "functional": "GGA-PBE", "state": "relaxed", "magnetic_moment_mub_per_atom": 0.00, "n_ef_per_ev_atom": 1.193, "density_kg_m3": 14391, "space_group": "I4/mmm (139)", "lattice": [[-2.013, 2.013, 4.127], [2.013, -2.013, 4.127], [2.013, 2.013, -4.127]], "species": ["Zr", "Ag", "Os", "Os"], "fractional_positions": [[0.000, 0.000, 0.000], [0.500, 0.500, 0.000], [0.250, 0.750, 0.500], [0.750, 0.250, 0.500]]}


#four
{"formula": "ZrAgOs2", "functional": "GGA-PBE", "state": "relaxed", "magnetic_moment_mub_per_atom": 0.00, "n_ef_per_ev_atom": 1.046, "density_kg_m3": 14270, "space_group": "P4/mmm (123)", "lattice": [[3.364, 0.000, 0.000], [0.000, 3.364, 0.000], [0.000, 0.000, 5.959]], "species": ["Zr", "Ag", "Os", "Os"], "fractional_positions": [[0.000, 0.000, 0.000], [0.000, 0.000, 0.500], [0.500, 0.500, 0.257], [0.500, 0.500, 0.743]]}


Which of them is most stable, and which least? Most stable: #three; least stable: #two.


#one
{"formula": "ZrAgOs3", "functional": "GGA-PBE", "state": "relaxed", "magnetic_moment_mub_per_atom": 0.00, "n_ef_per_ev_atom": 2.187, "density_kg_m3": 12232, "space_group": "Pm-3m (221)", "lattice": [[4.710, 0.000, 0.000], [0.000, 4.710, 0.000], [0.000, 0.000, 4.710]], "species": ["Zr", "Ag", "Os", "Os", "Os"], "fractional_positions": [[0.000, 0.000, 0.000], [0.500, 0.500, 0.500], [0.000, 0.500, 0.500], [0.500, 0.000, 0.500], [0.500, 0.500, 0.000]]}


#two
{"formula": "ZrAgOs3", "functional": "GGA-PBE", "state": "relaxed", "magnetic_moment_mub_per_atom": 0.71, "n_ef_per_ev_atom": 1.320, "density_kg_m3": 11235, "space_group": "Pm-3m (221)", "lattice": [[4.846, 0.000, 0.000], [0.000, 4.846, 0.000], [0.000, 0.000, 4.846]], "species": ["Zr", "Ag", "Os", "Os", "Os"], "fractional_positions": [[0.000, 0.000, 0.000], [0.500, 0.500, 0.500], [0.000, 0.000, 0.500], [0.000, 0.500, 0.000], [0.500, 0.000, 0.000]]}


Which of them is most stable, and which least? Most stable: #one; least stable: #two.


#one
{"formula": "Zr4AgOs", "functional": "GGA-PBE", "state": "relaxed", "magnetic_moment_mub_per_atom": 0.00, "n_ef_per_ev_atom": 0.482, "density_kg_m3": 8951, "space_group": "P4/mmm (123)", "lattice": [[3.279, 0.000, 0.000], [0.000, 3.279, 0.000], [0.000, 0.000, 11.439]], "species": ["Zr", "Zr", "Zr", "Zr", "Ag", "Os"], "fractional_positions": [[0.000, 0.000, 0.144], [0.000, 0.000, 0.856], [0.500, 0.500, 0.328], [0.500, 0.500, 0.672], [0.000, 0.000, 0.500], [0.500, 0.500, 0.000]]}


#two
{"formula": "Zr4AgOs", "functional": "GGA-PBE", "state": "relaxed", "magnetic_moment_mub_per_atom": 0.00, "n_ef_per_ev_atom": 1.156, "density_kg_m3": 8999, "space_group": "F-43m (216)", "lattice": [[0.000, 3.940, 3.940], [3.940, 0.000, 3.940], [3.940, 3.940, 0.000]], "species": ["Zr", "Zr", "Zr", "Zr", "Ag", "Os"], "fractional_positions": [[0.377, 0.377, 0.377], [0.377, 0.377, 0.869], [0.377, 0.869, 0.377], [0.869, 0.377, 0.377], [0.000, 0.000, 0.000], [0.750, 0.750, 0.750]]}


Which of them is most stable, and which least? Most stable: #one; least stable: #two.


#one
{"formula": "Zr2AgOs2", "functional": "GGA-PBE", "state": "relaxed", "magnetic_moment_mub_per_atom": 0.00, "n_ef_per_ev_atom": 0.963, "density_kg_m3": 11859, "space_group": "P4/mbm (127)", "lattice": [[7.589, 0.000, 0.000], [0.000, 7.589, 0.000], [0.000, 0.000, 3.262]], "species": ["Zr", "Zr", "Zr", "Zr", "Ag", "Ag", "Os", "Os", "Os", "Os"], "fractional_positions": [[0.160, 0.340, 0.000], [0.340, 0.840, 0.000], [0.660, 0.160, 0.000], [0.840, 0.660, 0.000], [0.000, 0.000, 0.500], [0.500, 0.500, 0.500], [0.137, 0.637, 0.500], [0.363, 0.137, 0.500], [0.637, 0.863, 0.500], [0.863, 0.363, 0.500]]}


#two
{"formula": "Zr2AgOs2", "functional": "GGA-PBE", "state": "relaxed", "magnetic_moment_mub_per_atom": 0.00, "n_ef_per_ev_atom": 0.850, "density_kg_m3": 11663, "space_group": "P4/mbm (127)", "lattice": [[7.872, 0.000, 0.000], [0.000, 7.872, 0.000], [0.000, 0.000, 3.083]], "species": ["Zr", "Zr", "Zr", "Zr", "Ag", "Ag", "Os", "Os", "Os", "Os"], "fractional_positions": [[0.148, 0.352, 0.000], [0.352, 0.852, 0.000], [0.648, 0.148, 0.000], [0.852, 0.648, 0.000], [0.000, 0.000, 0.000], [0.500, 0.500, 0.000], [0.146, 0.646, 0.500], [0.354, 0.146, 0.500], [0.646, 0.854, 0.500], [0.854, 0.354, 0.500]]}


Which of them is most stable, and which least? Most stable: #one; least stable: #two.